1.
DFT (SCAN) results for a PBEsol-optimized structure of Li4LaAl.

The structure in POSCAR format:
```
Li4LaAl
1.0
-1.182 -3.737 3.840
4.040 -2.794 2.445
1.227 0.985 5.257
Li La Al
4 1 1
Direct
0.377 0.868 0.377
0.868 0.377 0.377
0.377 0.377 0.868
0.377 0.377 0.377
0.000 0.000 0.000
0.750 0.750 0.750
```

- DOS(E_F): 1.37 states/eV/cell
- E_tot: -60.8 eV/f.u.
- Calculated formation energy: -70 meV per atom

2.
DFT (SCAN) results for a PBEsol-optimized structure of LiLa2Al.

The structure in POSCAR format:
```
LiLa2Al
1.0
-2.393 1.898 1.277
-0.038 -4.892 2.910
4.083 2.830 3.444
La Al Li
2 1 1
Direct
0.758 0.516 0.782
0.242 0.484 0.218
0.500 0.000 0.000
0.000 0.000 0.500
```

- DOS(E_F): 3.47 states/eV/cell
- E_tot: -96.3 eV/f.u.
- Calculated formation energy: 18 meV per atom

3.
DFT (SCAN) results for a PBEsol-optimized structure of LiLa2Al.

The structure in POSCAR format:
```
LiLa2Al
1.0
3.715 0.000 0.000
0.000 5.211 0.000
-1.857 -2.606 5.268
La Al Li
2 1 1
Direct
0.764 0.764 0.528
0.986 0.486 0.972
0.216 0.216 0.432
0.534 0.034 0.068
```

- DOS(E_F): 3.13 states/eV/cell
- E_tot: -97.0 eV/f.u.
- Calculated formation energy: -167 meV per atom

4.
DFT (SCAN) results for a PBEsol-optimized structure of Li2LaAl.

The structure in POSCAR format:
```
Li2LaAl
1.0
-4.597 -2.068 0.229
-1.237 -3.753 -3.137
-0.572 -4.688 1.777
Li La Al
2 1 1
Direct
0.750 0.750 0.750
0.000 0.000 0.000
0.250 0.250 0.250
0.500 0.500 0.500
```

- DOS(E_F): 1.21 states/eV/cell
- E_tot: -56.2 eV/f.u.
- Calculated formation energy: -134 meV per atom

5.
DFT (SCAN) results for a PBEsol-optimized structure of LiLa4Al.

The structure in POSCAR format:
```
LiLa4Al
1.0
6.414 0.000 0.000
3.207 5.555 0.000
3.207 1.852 5.237
Li Al La
1 1 4
Direct
0.750 0.750 0.750
0.000 0.000 0.000
0.372 0.372 0.372
0.372 0.885 0.372
0.372 0.372 0.885
0.885 0.372 0.372
```

- DOS(E_F): 4.17 states/eV/cell
- E_tot: -180.8 eV/f.u.
- Calculated formation energy: 298 meV per atom

6.
DFT (SCAN) results for a PBEsol-optimized structure of LiLa2Al.

The structure in POSCAR format:
```
LiLa2Al
1.0
-3.038 -1.549 1.823
-1.556 -2.241 -4.498
2.858 -4.267 1.138
La Li Al
2 1 1
Direct
0.000 0.000 0.500
0.000 0.500 0.000
0.500 0.500 0.500
0.500 0.000 0.000
```

- DOS(E_F): 4.10 states/eV/cell
- E_tot: -97.1 eV/f.u.
- Calculated formation energy: -184 meV per atom

7.
DFT (SCAN) results for a PBEsol-optimized structure of LiLa2Al.

The structure in POSCAR format:
```
LiLa2Al
1.0
3.465 0.000 0.000
0.000 4.861 0.000
-1.733 0.000 6.236
Al La Li
1 2 1
Direct
0.685 0.500 0.371
0.079 0.000 0.158
0.413 0.500 0.826
0.802 0.000 0.604
```

- DOS(E_F): 2.86 states/eV/cell
- E_tot: -96.9 eV/f.u.
- Calculated formation energy: -140 meV per atom

8.
DFT (SCAN) results for a PBEsol-optimized structure of LiLa2Al.

The structure in POSCAR format:
```
LiLa2Al
1.0
-0.904 1.817 -2.812
2.760 -1.245 -1.692
-4.610 -6.513 -2.728
Al Li La
1 1 2
Direct
0.500 0.500 0.704
0.000 0.000 0.553
0.000 0.000 0.961
0.500 0.500 0.281
```

- DOS(E_F): 3.53 states/eV/cell
- E_tot: -96.5 eV/f.u.
- Calculated formation energy: -35 meV per atom